Compound: CaAs2Pd2Pt
Source: Alexandria
Functional: PBE
Structure: relaxed

Results
Calculated density ... 7.900 g/cm³
Energy of formation ... -0.437 eV/atom

```
data_CaAs2Pd2Pt
_chemical_formula_sum 'Ca2 As4 Pd4 Pt2'
_cell_length_a 6.961
_cell_length_b 8.461
_cell_length_c 4.267
_cell_angle_alpha 90.00
_cell_angle_beta 90.00
_cell_angle_gamma 90.00
_symmetry_space_group_name_H-M 'P n n m'
_symmetry_Int_Tables_number 58
loop_
_symmetry_equiv_pos_as_xyz
'x,y,z'
'-x,-y,-z'
'-x,-y,z'
'x,y,-z'
'x+1/2,-y+1/2,-z+1/2'
'-x+1/2,y+1/2,z+1/2'
'-x+1/2,y+1/2,-z+1/2'
'x+1/2,-y+1/2,z+1/2'
loop_
_atom_site_label
_atom_site_type_symbol
_atom_site_fract_x
_atom_site_fract_y
_atom_site_fract_z
_atom_site_occupancy
Ca1 Ca 0.000 0.000 0.000 1
As1 As 0.241 0.197 0.500 1
Pd1 Pd 0.083 0.698 0.500 1
Pt1 Pt 0.000 0.500 0.000 1
```

***

Compound: Ca2As2Pd5Pt
Source: Alexandria
Functional: PBE
Structure: relaxed

Results
Calculated density ... 8.777 g/cm³
Energy of formation ... -0.610 eV/atom

```
data_Ca2As2Pd5Pt
_chemical_formula_sum 'Ca4 As4 Pd10 Pt2'
_cell_length_a 9.965
_cell_length_b 9.965
_cell_length_c 3.647
_cell_angle_alpha 90.00
_cell_angle_beta 90.00
_cell_angle_gamma 90.00
_symmetry_space_group_name_H-M 'P 4/m b m'
_symmetry_Int_Tables_number 127
_symmetry_space_group_name_Hall '-P 4 2ab'
loop_
_atom_site_label
_atom_site_type_symbol
_atom_site_fract_x
_atom_site_fract_y
_atom_site_fract_z
_atom_site_occupancy
Ca1 Ca 0.174 0.326 0.000 1
As1 As 0.129 0.629 0.000 1
Pd1 Pd 0.000 0.500 0.500 1
Pd2 Pd 0.058 0.799 0.500 1
Pt1 Pt 0.000 0.000 0.000 1
```

***

Compound: Ca2As4PdPt3
Source: Alexandria
Functional: PBE
Structure: relaxed

Results
Calculated density ... 9.048 g/cm³
Energy of formation ... -0.753 eV/atom

```
data_Ca2As4PdPt3
_chemical_formula_sum 'Ca2 As4 Pd1 Pt3'
_cell_length_a 4.370
_cell_length_b 4.370
_cell_length_c 10.299
_cell_angle_alpha 90.00
_cell_angle_beta 90.00
_cell_angle_gamma 90.00
_symmetry_space_group_name_H-M 'P -4 m 2'
_symmetry_Int_Tables_number 115
loop_
_symmetry_equiv_pos_as_xyz
'x,y,z'
'y,-x,-z'
'-x,-y,z'
'-y,x,-z'
'-x,y,z'
'-y,-x,-z'
'x,-y,z'
'y,x,-z'
loop_
_atom_site_label
_atom_site_type_symbol
_atom_site_fract_x
_atom_site_fract_y
_atom_site_fract_z
_atom_site_occupancy
Ca1 Ca 0.000 0.500 0.243 1
As1 As 0.000 0.000 0.500 1
As2 As 0.000 0.500 0.865 1
As3 As 0.500 0.500 0.500 1
Pd1 Pd 0.500 0.500 0.000 1
Pt1 Pt 0.000 0.000 0.000 1
Pt2 Pt 0.000 0.500 0.628 1
```

***

Compound: Ca2As3Pd4Pt
Source: Alexandria
Functional: PBE
Structure: relaxed

Results
Calculated density ... 8.011 g/cm³
Energy of formation ... -0.655 eV/atom

```
data_Ca2As3Pd4Pt
_chemical_formula_sum 'Ca2 As3 Pd4 Pt1'
_cell_length_a 4.149
_cell_length_b 4.149
_cell_length_c 11.148
_cell_angle_alpha 90.00
_cell_angle_beta 90.00
_cell_angle_gamma 90.00
_symmetry_space_group_name_H-M 'P -4 m 2'
_symmetry_Int_Tables_number 115
loop_
_symmetry_equiv_pos_as_xyz
'x,y,z'
'y,-x,-z'
'-x,-y,z'
'-y,x,-z'
'-x,y,z'
'-y,-x,-z'
'x,-y,z'
'y,x,-z'
loop_
_atom_site_label
_atom_site_type_symbol
_atom_site_fract_x
_atom_site_fract_y
_atom_site_fract_z
_atom_site_occupancy
Ca1 Ca 0.000 0.500 0.243 1
As1 As 0.000 0.000 0.000 1
As2 As 0.000 0.500 0.631 1
Pd1 Pd 0.000 0.000 0.500 1
Pd2 Pd 0.000 0.500 0.845 1
Pd3 Pd 0.500 0.500 0.500 1
Pt1 Pt 0.500 0.500 0.000 1
```